This record from Alexandria via LeMat-Bulk describes a relaxed LiTaV2O6 crystal. The functional is GGA+U.

Unit cell a=5.169 b=5.176 c=5.558 alpha=90.23 beta=116.76 gamma=119.45
Space group P1 (No. 1)
Unique sites:
Li: 0.000 0.000 0.000 [1 per cell]
Ta: 0.967 0.480 0.443 [1 per cell]
V: 0.558 0.280 0.841 [1 per cell]
V: 0.558 0.784 0.338 [1 per cell]
O: 0.050 0.395 0.134 [1 per cell]
O: 0.068 0.194 0.621 [1 per cell]
O: 0.421 0.867 0.616 [1 per cell]
O: 0.477 0.076 0.141 [1 per cell]
O: 0.735 0.548 0.612 [1 per cell]
O: 0.739 0.663 0.144 [1 per cell]

Computed properties:
- Total energy: -81.810 eV for the cell shown